A relaxed structure of PrDyTlBi, computed with PBE-GGA.

The crystal system is cubic. The calculation puts the energy of formation at -0.44 eV/atom. The value obtained for the raw total energy is -4.35 eV/atom.

The space group is F-43m (No. 216) and the conventional cell measures 7.825, 7.825 and 7.825 Å, with angles of 90.00, 90.00 and 90.00 degrees. The asymmetric unit holds Pr at (0.000, 0.000, 0.000), Dy at (0.000, 0.000, 0.500), Tl at (0.250, 0.250, 0.750) and Bi at (0.250, 0.250, 0.250).

A relaxed structure of ZnGa2Sn2, computed with PBE-GGA.

The crystal system is tetragonal. The calculation puts the energy of formation at 0.09 eV/atom. The polymorph energy (0 for the lowest one) is 0.000 eV per atom. The value obtained for the raw total energy is -2.98 eV/atom.

The space group is P4/mbm (No. 127) and the conventional cell measures 6.801, 6.801 and 4.815 Å, with angles of 90.00, 90.00 and 90.00 degrees. The asymmetric unit holds Zn at (0.000, 0.000, 0.000), Ga at (0.136, 0.364, 0.000) and Sn at (0.188, 0.688, 0.500).

A relaxed structure of SmHf2Zr, computed with PBE-GGA.

The crystal system is trigonal. The calculation puts the energy of formation at 0.15 eV/atom. The polymorph energy (0 for the lowest one) is 0.000 eV per atom. The value obtained for the raw total energy is -8.15 eV/atom.

The space group is R3m (No. 160, hexagonal axes) and the conventional cell measures 3.2714, 3.2714 and 32.0793 Å, with angles of 90.00, 90.00 and 120.00 degrees. The asymmetric unit holds Sm at (0.0000, 0.0000, 0.0000), Hf at (0.0000, 0.0000, 0.5783), Hf at (0.0000, 0.0000, 0.7555) and Zr at (0.0000, 0.0000, 0.1669).

Short version: N(E_F) = 17.26 5.70 15.95 states/eV per cell, in the order given.